La3Ho2Er6Tm | GGA-PBE | relaxed

Properties
- Formation enthalpy at 0 K: 2.6 kJ per mole of atoms
- VASP energy: -4.622 eV per atom
- Calculated volume: 32.05 Å³ per atom
- Size of the total moment: 0.0 μB per formula unit
- Density of states at the Fermi level: 33.58 states/eV/cell

Cell: 6.189 10.719 11.777 Å, 90.00 100.08 90.00°
Space group C2/m (No. 12)
One atom of each set of equivalent atoms:
1 La 0.000 0.000 0.000 [2 per cell]
2 La 0.000 0.333 0.000 [4 per cell]
3 Ho 0.000 0.167 0.500 [4 per cell]
4 Er 0.247 0.333 0.743 [8 per cell]
5 Er 0.248 0.000 0.744 [4 per cell]
6 Tm 0.000 0.500 0.500 [2 per cell]

---

Sr3HgGe | GGA-PBE | relaxed

Properties
- Formation enthalpy at 0 K: -44.3 kJ per mole of atoms
- VASP energy: -2.452 eV per atom
- Distance to the lowest polymorph of the same formula: 0.000 eV/atom
- Calculated volume: 35.01 Å³ per atom
- Size of the total moment: 0.0 μB per formula unit
- Density of states at the Fermi level: 8.34 states/eV/cell

Cell: 5.578 22.471 5.586 Å, 90.00 90.00 90.00°
Space group Cmcm (No. 63)
One atom of each set of equivalent atoms:
1 Sr 0.000 0.077 0.250 [4 per cell]
2 Sr 0.000 0.250 0.250 [4 per cell]
3 Sr 0.000 0.422 0.250 [4 per cell]
4 Hg 0.000 0.159 0.750 [4 per cell]
5 Ge 0.000 0.338 0.750 [4 per cell]

---

Ce2CdSe4 | GGA-PBE | relaxed

Properties
- VASP energy: -5.207 eV per atom
- Distance to the lowest polymorph of the same formula: 0.000 eV/atom
- Calculated volume: 27.16 Å³ per atom
- Size of the total moment: 2.0 μB per formula unit
- Density of states at the Fermi level: 25.96 states/eV/cell

Cell: 7.408 11.647 4.407 Å, 90.00 90.00 90.00°
Space group Pbam (No. 55)
One atom of each set of equivalent atoms:
1 Ce 0.102 0.181 0.000 [4 per cell]
2 Cd 0.000 0.500 0.500 [2 per cell]
3 Se 0.123 0.717 0.500 [4 per cell]
4 Se 0.246 0.945 0.000 [4 per cell]

---

LiTc2Cl | GGA-PBE | relaxed

Properties
- VASP energy: -5.242 eV per atom
- Distance to the lowest polymorph of the same formula: 1.066 eV/atom
- Calculated volume: 13.29 Å³ per atom
- Size of the total moment: 0.0 μB per formula unit
- Density of states at the Fermi level: 5.04 states/eV/cell

Cell: 4.296 4.296 2.879 Å, 90.00 90.00 90.00°
Space group P4/mmm (No. 123)
One atom of each set of equivalent atoms:
1 Li 0.000 0.000 0.000 [1 per cell]
2 Tc 0.000 0.500 0.500 [2 per cell]
3 Cl 0.500 0.500 0.000 [1 per cell]